CaZn2H10O8: relaxed, GGA-PBEsol.

Structure (CIF):
```
data_CaZn2H10O8
_chemical_formula_sum 'Ca2 Zn4 H20 O16'
_symmetry_space_group_name_H-M 'P 1'
_symmetry_Int_Tables_number 1
_cell_length_a 6.154
_cell_length_b 10.014
_cell_length_c 6.576
_cell_angle_alpha 90.00
_cell_angle_beta 114.00
_cell_angle_gamma 90.00
loop_
_symmetry_equiv_pos_as_xyz
'x,y,z'
loop_
_atom_site_label
_atom_site_type_symbol
_atom_site_fract_x
_atom_site_fract_y
_atom_site_fract_z
_atom_site_occupancy
Ca1 Ca 0.000 0.000 0.000 1
Ca2 Ca 0.000 0.500 0.500 1
Zn1 Zn 0.414 0.212 0.794 1
Zn2 Zn 0.414 0.288 0.294 1
Zn3 Zn 0.586 0.712 0.706 1
Zn4 Zn 0.586 0.788 0.206 1
H1 H 0.107 0.231 0.400 1
H2 H 0.107 0.269 0.900 1
H3 H 0.179 0.718 0.382 1
H4 H 0.179 0.782 0.882 1
H5 H 0.189 0.637 0.169 1
H6 H 0.189 0.863 0.669 1
H7 H 0.355 0.612 0.925 1
H8 H 0.355 0.888 0.425 1
H9 H 0.499 0.523 0.213 1
H10 H 0.499 0.977 0.713 1
H11 H 0.501 0.023 0.287 1
H12 H 0.501 0.477 0.787 1
H13 H 0.645 0.112 0.575 1
H14 H 0.645 0.388 0.075 1
H15 H 0.811 0.137 0.331 1
H16 H 0.811 0.363 0.831 1
H17 H 0.821 0.218 0.118 1
H18 H 0.821 0.282 0.618 1
H19 H 0.893 0.731 0.100 1
H20 H 0.893 0.769 0.600 1
O1 O 0.091 0.643 0.270 1
O2 O 0.091 0.857 0.770 1
O3 O 0.236 0.202 0.990 1
O4 O 0.236 0.298 0.490 1
O5 O 0.325 0.665 0.046 1
O6 O 0.325 0.835 0.546 1
O7 O 0.402 0.559 0.731 1
O8 O 0.402 0.941 0.231 1
O9 O 0.598 0.059 0.769 1
O10 O 0.598 0.441 0.269 1
O11 O 0.675 0.165 0.454 1
O12 O 0.675 0.335 0.954 1
O13 O 0.764 0.702 0.510 1
O14 O 0.764 0.798 0.010 1
O15 O 0.909 0.143 0.230 1
O16 O 0.909 0.357 0.730 1
```

Computed properties:
E = -5.1342 eV/atom
crystal system = monoclinic